Compound: BaHgSe2O6
Source: Alexandria via LeMat-Bulk
Functional: PBE-GGA
Structure: optimized geometry

Values from the calculation:
SG = No. 148
ΔE_f (raw) = -1224 meV per atom

Geometry as extended XYZ:
```
10
Lattice="2.858 1.650 6.304 -2.858 1.650 6.304 0.000 -3.301 6.304" Properties=species:S:1:pos:R:3 pbc="T T T"
Ba 0.000 0.000 0.000
Hg 0.000 0.000 9.456
Se 0.000 0.000 3.901
Se 0.000 0.000 15.011
O -1.899 -0.414 7.952
O -0.591 -1.852 10.961
O -1.308 1.438 10.961
O 1.308 -1.438 7.952
O 0.591 1.852 7.952
O 1.899 0.414 10.961
```